Density functional theory data (GGA-PBE) for a relaxed CrHgPb crystal.

It has space group P3m1 (No. 156), with a = 4.8653 Å, b = 4.8653 Å, c = 3.5377 Å, α = 90.00°, β = 90.00° and γ = 120.00°. The inequivalent atoms are Cr at (0.0000, 0.0000, 0.0000), Hg at (0.6667, 0.3333, 0.1070) and Pb at (0.3333, 0.6667, 0.5506).

The total magnetization comes out at 4.2 μB/f.u. As for the mass density: 10.5 Mg/m³. The energy above the most stable polymorph in this dataset comes out at 0.068 eV/atom. For the calculated volume, the calculation gives 24.174 Å³/atom. As for the calculated total energy: -12.2 eV/cell.

Density functional theory data (GGA-PBE) for a relaxed Ce2PmP2N6 crystal.

It has space group P-3 (No. 147), with a = 5.9719 Å, b = 5.9719 Å, c = 5.8843 Å, α = 90.00°, β = 90.00° and γ = 120.00°. The inequivalent atoms are Ce at (0.3333, 0.6667, 0.1699), Pm at (0.0000, 0.0000, 0.0000), P at (0.3333, 0.6667, 0.6965) and N at (0.0847, 0.6884, 0.8016).

The total magnetization comes out at 0.0 μB/f.u. As for the mass density: 5.2 Mg/m³. The value obtained for the formation energy without anion corrections is -0.890 eV per atom. For the calculated volume, the calculation gives 16.522 Å³/atom. As for the calculated total energy: -87.2 eV/cell.

Density functional theory data (GGA-PBE) for a relaxed CoCu2Br crystal.

It has space group Cmm2 (No. 35), with a = 3.077 Å, b = 4.876 Å, c = 8.283 Å, α = 90.00°, β = 90.00° and γ = 90.00°. The inequivalent atoms are Co at (0.000, 0.000, 0.000), Cu at (0.000, 0.000, 0.542), Cu at (0.000, 0.500, 0.770) and Br at (0.000, 0.500, 0.237).

The total magnetization comes out at 1.9 μB/f.u. As for the mass density: 7.1 Mg/m³. The energy above the most stable polymorph in this dataset comes out at 0.267 eV/atom. The value obtained for the formation energy without anion corrections is 0.611 eV per atom. For the calculated volume, the calculation gives 15.531 Å³/atom. As for the calculated total energy: -29.1 eV/cell.